A plane-wave DFT calculation with PBE was carried out for a relaxed structure of Rb3MnAg2Br9.

Geometry as POSCAR:
```
Rb3MnAg2Br9
1.0
-1.3647 -6.6909 -3.4537
4.4296 5.2296 -3.4041
7.5651 -3.6945 4.1683
Rb Br Ag Mn
3 9 2 1
Direct
0.3333 0.6667 0.6818
0.6667 0.3333 0.3182
0.0000 0.0000 0.0000
0.1585 0.8415 0.3441
0.8415 0.6830 0.6559
0.5000 0.5000 0.0000
0.3170 0.1585 0.6559
0.1585 0.3170 0.3441
0.8415 0.1585 0.6559
0.0000 0.5000 0.0000
0.5000 0.0000 0.0000
0.6830 0.8415 0.3441
0.3333 0.6667 0.1699
0.6667 0.3333 0.8301
0.0000 0.0000 0.5000
```

Summary:
As for the volume: 476 Å³/f.u. The space-group type is P-3m1 (164). The value obtained for the uncorrected formation energy is -0.985 eV per atom.